No. 1
{
  "formula": "Sm2DyAs3",
  "functional": "PBE",
  "state": "relaxed",
  "cell": [[4.180, 0.000, 0.000], [-2.090, 3.620, 0.000], [0.000, 0.000, 10.231]],
  "species": ["Sm", "Sm", "Dy", "As", "As", "As"],
  "fractional_positions": [[0.333, 0.667, 0.331], [0.667, 0.333, 0.669], [0.000, 0.000, 0.000], [0.000, 0.000, 0.500], [0.333, 0.667, 0.838], [0.667, 0.333, 0.162]],
  "final_energy_ev_per_atom": -6.194,
  "vol_a3_per_cell": 155
}

---

No. 2
{
  "formula": "SmDyAs",
  "functional": "PBE",
  "state": "relaxed",
  "cell": [[0.000, 3.442, 3.442], [3.442, 0.000, 3.442], [3.442, 3.442, 0.000]],
  "species": ["Sm", "Dy", "As"],
  "fractional_positions": [[0.000, 0.000, 0.000], [0.500, 0.500, 0.500], [0.750, 0.750, 0.750]],
  "final_energy_ev_per_atom": -5.438,
  "vol_a3_per_cell": 82
}

---

No. 3
{
  "formula": "DySnAs",
  "functional": "PBE",
  "state": "relaxed",
  "cell": [[0.000, 3.458, 3.458], [3.458, 0.000, 3.458], [3.458, 3.458, 0.000]],
  "species": ["Dy", "Sn", "As"],
  "fractional_positions": [[0.000, 0.000, 0.000], [0.500, 0.500, 0.500], [0.250, 0.250, 0.250]],
  "final_energy_ev_per_atom": -4.829,
  "vol_a3_per_cell": 83
}

---

No. 4
{
  "formula": "DyTaAs",
  "functional": "PBE",
  "state": "relaxed",
  "cell": [[0.000, 3.217, 3.217], [3.217, 0.000, 3.217], [3.217, 3.217, 0.000]],
  "species": ["Dy", "Ta", "As"],
  "fractional_positions": [[0.000, 0.000, 0.000], [0.500, 0.500, 0.500], [0.250, 0.250, 0.250]],
  "final_energy_ev_per_atom": -7.128,
  "vol_a3_per_cell": 67
}

---

Q: Number 3 is which compound?
A: DySnAs